Entry 1:
The following is a SCAN calculation of BaTe2As at its PBEsol-relaxed geometry, from the Alexandria database.

a = 12.343 Å, b = 4.545 Å, c = 4.558 Å
α = 90.00°, β = 90.05°, γ = 90.00°
Space group Cm (No. 8)
Unique sites:
Ba (0.000, 0.000, 0.000) x2
Te (0.210, 0.500, 0.000) x2
Te (0.419, 0.000, 0.500) x2
As (0.211, 0.000, 0.501) x2

Results
The value obtained for the uncorrected formation energy is -0.825 eV per atom. The volume comes out at 256 Å³/cell.

***

Entry 2:
The following is a SCAN calculation of Ta2MoAs at its PBEsol-relaxed geometry, from the Alexandria database.

a = 3.329 Å, b = 4.751 Å, c = 8.347 Å
α = 90.00°, β = 90.00°, γ = 90.00°
Space group Cmmm (No. 65)
Unique sites:
Ta (0.000, 0.000, 0.244) x4
Mo (0.000, 0.500, 0.500) x2
As (0.000, 0.500, 0.000) x2

Results
The volume comes out at 132 Å³/cell. The calculated formation energy comes out at -0.139 eV/atom.

***

> Number 1 is which compound?

BaTe2As